1.
Entry from Alexandria: a geometry-optimized BeZnSi2 structure (PBE).

Values from the calculation:
ρ, g/cm3: 4.079
Energy relative to the elements, uncorrected, meV per atom: 379
Calculated total energy, eV/atom: -3.5825

Geometry as CIF:
```
data_BeZnSi2
_chemical_formula_sum 'Be2 Zn2 Si4'
_cell_length_a 8.606
_cell_length_b 2.714
_cell_length_c 4.669
_cell_angle_alpha 90.00
_cell_angle_beta 102.79
_cell_angle_gamma 90.00
_symmetry_space_group_name_H-M 'C 1 2/m 1'
_symmetry_Int_Tables_number 12
loop_
_symmetry_equiv_pos_as_xyz
'x,y,z'
'-x,-y,-z'
'-x,y,-z'
'x,-y,z'
'x+1/2,y+1/2,z'
'-x+1/2,-y+1/2,-z'
'-x+1/2,y+1/2,-z'
'x+1/2,-y+1/2,z'
loop_
_atom_site_label
_atom_site_type_symbol
_atom_site_fract_x
_atom_site_fract_y
_atom_site_fract_z
_atom_site_occupancy
Be1 Be 0.000 0.000 0.000 1
Zn1 Zn 0.000 0.500 0.500 1
Si1 Si 0.239 0.500 0.230 1
```



2.
Entry from Alexandria: a geometry-optimized BeZnSi2 structure (PBE).

Values from the calculation:
ρ, g/cm3: 4.019
Energy relative to the elements, uncorrected, meV per atom: 388
Calculated total energy, eV/atom: -3.5731

Geometry as CIF:
```
data_BeZnSi2
_chemical_formula_sum 'Be2 Zn2 Si4'
_cell_length_a 2.539
_cell_length_b 4.762
_cell_length_c 8.925
_cell_angle_alpha 90.00
_cell_angle_beta 90.00
_cell_angle_gamma 90.00
_symmetry_space_group_name_H-M 'C m m 2'
_symmetry_Int_Tables_number 35
loop_
_symmetry_equiv_pos_as_xyz
'x,y,z'
'-x,-y,z'
'-x,y,z'
'x,-y,z'
'x+1/2,y+1/2,z'
'-x+1/2,-y+1/2,z'
'-x+1/2,y+1/2,z'
'x+1/2,-y+1/2,z'
loop_
_atom_site_label
_atom_site_type_symbol
_atom_site_fract_x
_atom_site_fract_y
_atom_site_fract_z
_atom_site_occupancy
Be1 Be 0.000 0.000 0.000 1
Zn1 Zn 0.000 0.500 0.770 1
Si1 Si 0.000 0.000 0.497 1
Si2 Si 0.000 0.500 0.222 1
```



3.
Entry from Alexandria: a geometry-optimized BeZnSi2 structure (PBE).

Values from the calculation:
ρ, g/cm3: 3.818
Energy relative to the elements, uncorrected, meV per atom: 342
Calculated total energy, eV/atom: -3.6191

Geometry as CIF:
```
data_BeZnSi2
_chemical_formula_sum 'Be1 Zn1 Si2'
_cell_length_a 2.542
_cell_length_b 3.455
_cell_length_c 6.536
_cell_angle_alpha 90.00
_cell_angle_beta 98.29
_cell_angle_gamma 90.00
_symmetry_space_group_name_H-M 'P 1 2/m 1'
_symmetry_Int_Tables_number 10
loop_
_symmetry_equiv_pos_as_xyz
'x,y,z'
'-x,-y,-z'
'-x,y,-z'
'x,-y,z'
loop_
_atom_site_label
_atom_site_type_symbol
_atom_site_fract_x
_atom_site_fract_y
_atom_site_fract_z
_atom_site_occupancy
Be1 Be 0.000 0.000 0.000 1
Zn1 Zn 0.500 0.000 0.500 1
Si1 Si 0.418 0.500 0.804 1
```



4.
Entry from Alexandria: a geometry-optimized BeZnSi2 structure (PBE).

Values from the calculation:
ρ, g/cm3: 4.010
Energy relative to the elements, uncorrected, meV per atom: 552
Calculated total energy, eV/atom: -3.4094

Geometry as CIF:
```
data_BeZnSi2
_chemical_formula_sum 'Be4 Zn4 Si8'
_cell_length_a 6.003
_cell_length_b 6.003
_cell_length_c 6.003
_cell_angle_alpha 90.00
_cell_angle_beta 90.00
_cell_angle_gamma 90.00
_symmetry_space_group_name_H-M 'F -4 3 m'
_symmetry_Int_Tables_number 216
_symmetry_space_group_name_Hall 'F -4 2 3'
loop_
_atom_site_label
_atom_site_type_symbol
_atom_site_fract_x
_atom_site_fract_y
_atom_site_fract_z
_atom_site_occupancy
Be1 Be 0.000 0.000 0.000 1
Zn1 Zn 0.250 0.250 0.250 1
Si1 Si 0.000 0.000 0.500 1
Si2 Si 0.250 0.250 0.750 1
```



5.
Entry from Alexandria: a geometry-optimized BeZnSi2 structure (PBE).

Values from the calculation:
ρ, g/cm3: 3.873
Energy relative to the elements, uncorrected, meV per atom: 557
Calculated total energy, eV/atom: -3.4050

Geometry as CIF:
```
data_BeZnSi2
_chemical_formula_sum 'Be4 Zn4 Si8'
_cell_length_a 6.073
_cell_length_b 6.073
_cell_length_c 6.073
_cell_angle_alpha 90.00
_cell_angle_beta 90.00
_cell_angle_gamma 90.00
_symmetry_space_group_name_H-M 'F m -3 m'
_symmetry_Int_Tables_number 225
_symmetry_space_group_name_Hall '-F 4 2 3'
loop_
_atom_site_label
_atom_site_type_symbol
_atom_site_fract_x
_atom_site_fract_y
_atom_site_fract_z
_atom_site_occupancy
Be1 Be 0.000 0.000 0.000 1
Zn1 Zn 0.000 0.000 0.500 1
Si1 Si 0.250 0.250 0.250 1
```



6.
Entry from Alexandria: a geometry-optimized BeZnSi structure (PBE).

Values from the calculation:
ρ, g/cm3: 3.968
Energy relative to the elements, uncorrected, meV per atom: 326
Calculated total energy, eV/atom: -3.1482

Geometry as CIF:
```
data_BeZnSi
_chemical_formula_sum 'Be1 Zn1 Si1'
_cell_length_a 3.7726
_cell_length_b 3.7726
_cell_length_c 3.4804
_cell_angle_alpha 90.00
_cell_angle_beta 90.00
_cell_angle_gamma 120.00
_symmetry_space_group_name_H-M 'P 3 m 1'
_symmetry_Int_Tables_number 156
loop_
_symmetry_equiv_pos_as_xyz
'x,y,z'
'-y,x-y,z'
'-x+y,-x,z'
'-y,-x,z'
'-x+y,y,z'
'x,x-y,z'
loop_
_atom_site_label
_atom_site_type_symbol
_atom_site_fract_x
_atom_site_fract_y
_atom_site_fract_z
_atom_site_occupancy
Be1 Be 0.0000 0.0000 0.0000 1
Zn1 Zn 0.3333 0.6667 0.4976 1
Si1 Si 0.6667 0.3333 0.9978 1
```



- What is the ρ in the sixth record?
  3.968 g/cm3



Repeat the first record exactly.
Entry from Alexandria: a geometry-optimized BeZnSi2 structure (PBE).

Values from the calculation:
ρ, g/cm3: 4.079
Energy relative to the elements, uncorrected, meV per atom: 379
Calculated total energy, eV/atom: -3.5825

Geometry as CIF:
```
data_BeZnSi2
_chemical_formula_sum 'Be2 Zn2 Si4'
_cell_length_a 8.606
_cell_length_b 2.714
_cell_length_c 4.669
_cell_angle_alpha 90.00
_cell_angle_beta 102.79
_cell_angle_gamma 90.00
_symmetry_space_group_name_H-M 'C 1 2/m 1'
_symmetry_Int_Tables_number 12
loop_
_symmetry_equiv_pos_as_xyz
'x,y,z'
'-x,-y,-z'
'-x,y,-z'
'x,-y,z'
'x+1/2,y+1/2,z'
'-x+1/2,-y+1/2,-z'
'-x+1/2,y+1/2,-z'
'x+1/2,-y+1/2,z'
loop_
_atom_site_label
_atom_site_type_symbol
_atom_site_fract_x
_atom_site_fract_y
_atom_site_fract_z
_atom_site_occupancy
Be1 Be 0.000 0.000 0.000 1
Zn1 Zn 0.000 0.500 0.500 1
Si1 Si 0.239 0.500 0.230 1
```



- Which of these has the lowest calculated total energy?
  number 3